# ZnNiPb2

A PBEsol-optimized structure of ZnNiPb2 (SCAN, Alexandria via LeMat-Bulk).

a b c (Å): 4.855 4.855 3.418
angles (deg): 90.00 90.00 90.00
Space group P4/mmm (No. 123)
Inequivalent atoms, fractional coordinates:
Zn 0.000 0.000 0.000 [1 per cell]
Ni 0.500 0.500 0.000 [1 per cell]
Pb 0.000 0.500 0.500 [2 per cell]

Calculated values
**Total DFT energy (no corrections)**: -44.898 eV/atom